The following is a PBE calculation of NbSBr2 after structural relaxation, from Alexandria.

extended XYZ file:
```
16
Lattice="6.7610 0.0000 0.0000 0.0000 6.7610 0.0000 0.0000 0.0000 6.7610" Properties=species:S:1:pos:R:3 pbc="T T T"
Nb 0.0000 0.0000 0.0000
Nb 0.0000 3.3805 3.3805
Nb 3.3805 0.0000 3.3805
Nb 3.3805 3.3805 0.0000
S 0.0000 0.0000 3.3805
S 0.0000 3.3805 0.0000
S 3.3805 0.0000 0.0000
S 3.3805 3.3805 3.3805
Br 1.6903 1.6903 1.6903
Br 1.6903 1.6903 5.0708
Br 1.6903 5.0708 1.6903
Br 1.6903 5.0708 5.0708
Br 5.0708 1.6903 1.6903
Br 5.0708 1.6903 5.0708
Br 5.0708 5.0708 1.6903
Br 5.0708 5.0708 5.0708
```

Summary:
raw formation energy: 0.406 eV/atom
space-group type: Fm-3m, No. 225
relative energy among the computed polymorphs: 1171 meV per atom
calculated volume: 19.32 Å³/atom

The following is a PBE calculation of NbSBr2 after structural relaxation, from Alexandria.

extended XYZ file:
```
12
Lattice="3.2524 0.0000 0.0000 -1.6262 2.8167 0.0000 0.0000 0.0000 32.2085" Properties=species:S:1:pos:R:3 pbc="T T T"
Nb 0.0000 0.0000 0.0000
Nb 0.0000 1.8778 21.4723
Nb 1.6262 0.9389 10.7362
S 0.0000 0.0000 16.1042
S 0.0000 1.8778 5.3681
S 1.6262 0.9389 26.8404
Br 0.0000 0.0000 12.6389
Br 0.0000 0.0000 19.5696
Br 0.0000 1.8778 1.9027
Br 0.0000 1.8778 8.8334
Br 1.6262 0.9389 23.3751
Br 1.6262 0.9389 30.3057
```

Summary:
raw formation energy: 0.038 eV/atom
space-group type: R-3m, No. 166
relative energy among the computed polymorphs: 804 meV per atom
calculated volume: 24.59 Å³/atom